## Ba2Li2H5 (PBE)

Data for a relaxed structure of Ba2Li2H5.

a = 4.0221 Å, b = 4.0221 Å, c = 8.0393 Å
α = 90.00°, β = 90.00°, γ = 90.00°
With the nearest neighbours (Å) after each atom.
Sites, in units of the cell vectors:
Ba 0.0000 0.0000 0.0000  12 H 2.84-2.85
Ba 0.0000 0.0000 0.5000  8 H 2.84
Li 0.5000 0.5000 0.2410  5 H 1.94-2.01
Li 0.5000 0.5000 0.7590  5 H 1.94-2.01
H 0.0000 0.5000 0.2511  2 Li 2.01
H 0.0000 0.5000 0.7489  2 Li 2.01
H 0.5000 0.0000 0.2511  2 Li 2.01
H 0.5000 0.0000 0.7489  2 Li 2.01
H 0.5000 0.5000 0.0000  2 Li 1.94

Properties
symmetry = No. 123
raw total energy = -3.1776 eV per atom


## GaIN2 (PBE)

Data for a relaxed structure of GaIN2.

a = 6.5433 Å, b = 6.5433 Å, c = 6.5433 Å
α = 28.99°, β = 28.99°, γ = 28.99°
With the nearest neighbours (Å) after each atom.
Sites, in units of the cell vectors:
Ga 0.0000 0.0000 0.0000  6 N 2.14
I 0.5000 0.5000 0.5000  2 N 2.12
N 0.3870 0.3870 0.3870  1 I 2.12, 3 Ga 2.14
N 0.6130 0.6130 0.6130  1 I 2.12, 3 Ga 2.14

Properties
symmetry = No. 166
energy above the lowest structure with this stoichiometry = 0 meV per atom
raw total energy = -4.4643 eV per atom
energy relative to the elements, uncorrected = 0.843 eV per atom